Crystalline Pr12Nd5Dy2 at its relaxed geometry. Source: the Alexandria database, functional GGA-PBE.

Lattice parameters (Å, degrees): 11.9578 11.9578 8.9095 109.51 109.51 35.28
With the nearest neighbours (Å) after each atom.
Element x y z (fractional)
Pr: 0.0463 0.5514 0.7066  7 Pr 3.54-3.83, 4 Nd 3.60-3.76
Pr: 0.0485 0.0485 0.1968  5 Pr 3.43-3.77, 1 Nd 3.50, 2 Dy 3.70
Pr: 0.1384 0.6503 0.1167  1 Dy 3.42, 4 Nd 3.47-3.59, 5 Pr 3.54-3.79
Pr: 0.3497 0.8616 0.8833  1 Dy 3.42, 4 Nd 3.47-3.59, 5 Pr 3.54-3.79
Pr: 0.3596 0.3596 0.4468  6 Pr 3.59-3.83, 2 Dy 3.59, 3 Nd 3.64-3.80
Pr: 0.4486 0.9537 0.2934  7 Pr 3.54-3.83, 4 Nd 3.60-3.76
Pr: 0.5514 0.0463 0.7066  7 Pr 3.54-3.83, 4 Nd 3.60-3.76
Pr: 0.6404 0.6404 0.5532  6 Pr 3.59-3.83, 2 Dy 3.59, 3 Nd 3.64-3.80
Pr: 0.6503 0.1384 0.1167  1 Dy 3.42, 4 Nd 3.47-3.59, 5 Pr 3.54-3.79
Pr: 0.8616 0.3497 0.8833  1 Dy 3.42, 4 Nd 3.47-3.59, 5 Pr 3.54-3.79
Pr: 0.9515 0.9515 0.8032  5 Pr 3.43-3.77, 1 Nd 3.50, 2 Dy 3.70
Pr: 0.9537 0.4486 0.2934  7 Pr 3.54-3.83, 4 Nd 3.60-3.76
Nd: 0.1493 0.1493 0.5963  9 Pr 3.50-3.76, 1 Nd 3.61, 2 Dy 3.65
Nd: 0.2518 0.2518 0.0105  9 Pr 3.57-3.80, 3 Nd 3.61-3.63
Nd: 0.5000 0.5000 0.0000  4 Pr 3.47
Nd: 0.7482 0.7482 0.9895  9 Pr 3.57-3.80, 3 Nd 3.61-3.63
Nd: 0.8507 0.8507 0.4037  9 Pr 3.50-3.76, 1 Nd 3.61, 2 Dy 3.65
Dy: 0.2417 0.7583 0.5000  6 Pr 3.42-3.70, 2 Dy 3.50-3.74, 2 Nd 3.65
Dy: 0.7583 0.2417 0.5000  6 Pr 3.42-3.70, 2 Dy 3.50-3.74, 2 Nd 3.65

- total energy (eV/atom) = -4.631
- D(E_F) (states/eV/atom) = 1.522
- energy relative to the elements (eV per atom) = 0.13
- total magnetization (μB per cell) = 0.0
- space group = C2/m

=====

Crystalline Pr5Nd3Dy4 at its relaxed geometry. Source: the Alexandria database, functional GGA-PBE.

Lattice parameters (Å, degrees): 6.3262 7.2883 8.9408 89.90 89.97 89.97
With the nearest neighbours (Å) after each atom.
Element x y z (fractional)
Pr: 0.0000 0.0000 0.0000  4 Pr 3.63-3.65, 4 Nd 3.64-3.66, 4 Dy 3.65-3.68
Pr: 0.3320 0.4997 0.6644  4 Nd 3.62-3.67, 5 Dy 3.63-3.67, 3 Pr 3.63-3.68
Pr: 0.4988 0.7523 0.0004  6 Pr 3.61-3.68, 3 Nd 3.65-3.68, 3 Dy 3.66
Pr: 0.5012 0.2477 0.9996  6 Pr 3.61-3.68, 3 Nd 3.65-3.68, 3 Dy 3.66
Pr: 0.6680 0.5003 0.3356  4 Nd 3.62-3.67, 5 Dy 3.63-3.67, 3 Pr 3.63-3.68
Nd: 0.0000 0.5000 0.0000  8 Pr 3.64-3.66, 2 Nd 3.67, 2 Dy 3.68
Nd: 0.1660 0.2476 0.3359  6 Dy 3.60-3.69, 5 Pr 3.62-3.68, 1 Nd 3.67
Nd: 0.8340 0.7524 0.6641  6 Dy 3.60-3.69, 5 Pr 3.62-3.68, 1 Nd 3.67
Dy: 0.1673 0.7537 0.3354  4 Nd 3.60-3.69, 3 Dy 3.60-3.65, 5 Pr 3.63-3.67
Dy: 0.3344 0.0001 0.6636  4 Dy 3.60-3.65, 3 Nd 3.60-3.64, 5 Pr 3.64-3.68
Dy: 0.6656 0.9999 0.3364  4 Dy 3.60-3.65, 3 Nd 3.60-3.64, 5 Pr 3.64-3.68
Dy: 0.8327 0.2463 0.6646  4 Nd 3.60-3.69, 3 Dy 3.60-3.65, 5 Pr 3.63-3.67

- total energy (eV/atom) = -4.703
- D(E_F) (states/eV/atom) = 1.366
- energy relative to the elements (eV per atom) = 0.01
- total magnetization (μB per cell) = 0.0
- space group = P-1

=====

Crystalline Pr7NdDy4 at its relaxed geometry. Source: the Alexandria database, functional GGA-PBE.

Lattice parameters (Å, degrees): 8.7005 8.7005 9.5582 115.08 115.08 40.93
With the nearest neighbours (Å) after each atom.
Element x y z (fractional)
Pr: 0.0000 0.0000 0.0000  2 Nd 3.04
Pr: 0.2864 0.2864 0.1151  6 Pr 3.40-3.70, 3 Dy 3.76-3.80
Pr: 0.2856 0.2856 0.7592  1 Nd 3.20, 4 Dy 3.25-3.53, 2 Pr 3.40-3.50
Pr: 0.4134 0.4134 0.5482  3 Pr 3.34-3.70, 3 Dy 3.52-3.56
Pr: 0.5866 0.5866 0.4518  3 Pr 3.34-3.70, 3 Dy 3.52-3.56
Pr: 0.7144 0.7144 0.2408  1 Nd 3.20, 4 Dy 3.25-3.53, 2 Pr 3.40-3.50
Pr: 0.7136 0.7136 0.8849  6 Pr 3.40-3.70, 3 Dy 3.76-3.80
Nd: 0.5000 0.5000 0.0000  4 Pr 3.04-3.20
Dy: 0.0700 0.0700 0.6984  2 Pr 3.29-3.55, 2 Dy 3.43-3.62
Dy: 0.1691 0.1691 0.3797  7 Pr 3.25-3.56, 1 Dy 3.62
Dy: 0.8309 0.8309 0.6203  7 Pr 3.25-3.56, 1 Dy 3.62
Dy: 0.9300 0.9300 0.3016  2 Pr 3.29-3.55, 2 Dy 3.43-3.62

- total energy (eV/atom) = -4.520
- D(E_F) (states/eV/atom) = 1.676
- energy relative to the elements (eV per atom) = 0.20
- total magnetization (μB per cell) = 0.1
- space group = C2/m

=====

Crystalline Pr2NdDy12 at its relaxed geometry. Source: the Alexandria database, functional GGA-PBE.

Lattice parameters (Å, degrees): 6.6865 6.6865 24.8938 90.00 90.00 116.13
With the nearest neighbours (Å) after each atom.
Element x y z (fractional)
Pr: 0.2500 0.7500 0.2336  2 Pr 3.54, 10 Dy 3.68-3.88
Pr: 0.2500 0.7500 0.7719  2 Pr 3.54, 8 Dy 3.63-3.79
Pr: 0.7500 0.2500 0.2281  2 Pr 3.54, 8 Dy 3.63-3.79
Pr: 0.7500 0.2500 0.7664  2 Pr 3.54, 10 Dy 3.68-3.88
Nd: 0.2500 0.7500 0.5003  8 Dy 3.45-3.64, 2 Nd 3.54
Nd: 0.7500 0.2500 0.4997  8 Dy 3.45-3.64, 2 Nd 3.54
Dy: 0.0008 0.5008 0.6276  8 Dy 3.36-3.56, 2 Nd 3.63-3.64
Dy: 0.0009 0.9991 0.4207  2 Nd 3.45-3.46, 8 Dy 3.48-3.56
Dy: 0.0111 0.5111 0.0834  8 Dy 3.31-3.69
Dy: 0.0132 0.9868 0.9389  5 Dy 3.06-3.31
Dy: 0.2500 0.2500 0.1716  5 Dy 3.20-3.54
Dy: 0.2500 0.2500 0.3001  7 Dy 3.20-3.54
Dy: 0.2500 0.2500 0.6999  7 Dy 3.20-3.54
Dy: 0.2500 0.2500 0.8284  5 Dy 3.20-3.54
Dy: 0.4868 0.5132 0.9389  5 Dy 3.06-3.31
Dy: 0.4889 0.9889 0.0834  8 Dy 3.31-3.69
Dy: 0.4991 0.5009 0.4207  2 Nd 3.45-3.46, 8 Dy 3.48-3.56
Dy: 0.4992 0.9992 0.6276  8 Dy 3.36-3.56, 2 Nd 3.63-3.64
Dy: 0.5008 0.0008 0.3724  8 Dy 3.36-3.56, 2 Nd 3.63-3.64
Dy: 0.5009 0.4991 0.5793  2 Nd 3.45-3.46, 8 Dy 3.48-3.56
Dy: 0.5111 0.0111 0.9166  8 Dy 3.31-3.69
Dy: 0.5132 0.4868 0.0611  5 Dy 3.06-3.31
Dy: 0.7500 0.7500 0.1716  5 Dy 3.20-3.54
Dy: 0.7500 0.7500 0.3001  7 Dy 3.20-3.54
Dy: 0.7500 0.7500 0.6999  7 Dy 3.20-3.54
Dy: 0.7500 0.7500 0.8284  5 Dy 3.20-3.54
Dy: 0.9868 0.0132 0.0611  5 Dy 3.06-3.31
Dy: 0.9889 0.4889 0.9166  8 Dy 3.31-3.69
Dy: 0.9991 0.0009 0.5793  2 Nd 3.45-3.46, 8 Dy 3.48-3.56
Dy: 0.9992 0.4992 0.3724  8 Dy 3.36-3.56, 2 Nd 3.63-3.64

- total energy (eV/atom) = -4.474
- D(E_F) (states/eV/atom) = 1.590
- energy relative to the elements (eV per atom) = 0.16
- total magnetization (μB per cell) = 0.0
- space group = Cmme

=====

Crystalline PrNdDy2 at its relaxed geometry. Source: the Alexandria database, functional GGA-PBE.

Lattice parameters (Å, degrees): 3.6280 3.6280 10.1911 90.00 90.00 90.00
With the nearest neighbours (Å) after each atom.
Element x y z (fractional)
Pr: 0.0000 0.0000 0.0000  8 Dy 3.62, 4 Pr 3.63
Nd: 0.0000 0.0000 0.5000  8 Dy 3.61, 4 Nd 3.63
Dy: 0.5000 0.5000 0.2513  4 Nd 3.61, 4 Pr 3.62, 4 Dy 3.63
Dy: 0.5000 0.5000 0.7487  4 Nd 3.61, 4 Pr 3.62, 4 Dy 3.63

- total energy (eV/atom) = -4.668
- D(E_F) (states/eV/atom) = 1.474
- energy relative to the elements (eV per atom) = 0.02
- total magnetization (μB per cell) = 0.0
- space group = P4/mmm

=====

Crystalline Pr2Nd5Dy4 at its relaxed geometry. Source: the Alexandria database, functional GGA-PBE.

Lattice parameters (Å, degrees): 12.8483 12.8483 12.8483 164.08 137.83 45.35
With the nearest neighbours (Å) after each atom.
Element x y z (fractional)
Pr: 0.2318 0.2318 0.0000  1 Dy 3.21, 2 Nd 3.48, 2 Pr 3.56
Pr: 0.7682 0.7682 0.0000  1 Dy 3.21, 2 Nd 3.48, 2 Pr 3.56
Nd: 0.1590 0.3569 0.8021  1 Pr 3.48, 3 Dy 3.49-3.56, 3 Nd 3.56-3.66
Nd: 0.4452 0.6431 0.8021  1 Pr 3.48, 3 Dy 3.49-3.56, 3 Nd 3.56-3.66
Nd: 0.5000 0.0000 0.5000  4 Dy 3.40, 2 Nd 3.56
Nd: 0.5548 0.3569 0.1979  1 Pr 3.48, 3 Dy 3.49-3.56, 3 Nd 3.56-3.66
Nd: 0.8410 0.6431 0.1979  1 Pr 3.48, 3 Dy 3.49-3.56, 3 Nd 3.56-3.66
Dy: 0.0963 0.0963 0.0000  1 Pr 3.21, 6 Dy 3.37-3.56, 4 Nd 3.49
Dy: 0.1872 0.5000 0.6872  7 Dy 3.37-3.56, 4 Nd 3.40-3.56
Dy: 0.8128 0.5000 0.3128  7 Dy 3.37-3.56, 4 Nd 3.40-3.56
Dy: 0.9037 0.9037 0.0000  1 Pr 3.21, 6 Dy 3.37-3.56, 4 Nd 3.49

- total energy (eV/atom) = -4.536
- D(E_F) (states/eV/atom) = 1.450
- energy relative to the elements (eV per atom) = 0.17
- total magnetization (μB per cell) = 0.0
- space group = Immm

=====

Crystalline Pr2Nd2Dy7 at its relaxed geometry. Source: the Alexandria database, functional GGA-PBE.

Lattice parameters (Å, degrees): 8.1480 8.1480 6.1214 106.29 106.29 91.68
With the nearest neighbours (Å) after each atom.
Element x y z (fractional)
Pr: 0.2114 0.7886 0.0000  6 Dy 3.33-3.52
Pr: 0.7886 0.2114 0.0000  6 Dy 3.33-3.52
Nd: 0.4028 0.4028 0.6884  7 Dy 3.44-3.79, 2 Nd 3.56-3.78, 2 Pr 3.81
Nd: 0.5972 0.5972 0.3116  7 Dy 3.44-3.79, 2 Nd 3.56-3.78, 2 Pr 3.81
Dy: 0.0000 0.0000 0.5000  6 Dy 3.32-3.47
Dy: 0.0647 0.5896 0.3259  5 Dy 3.27-3.63, 2 Pr 3.33-3.49
Dy: 0.2344 0.2344 0.0780  5 Dy 3.40-3.59, 3 Nd 3.44-3.78, 2 Pr 3.52
Dy: 0.4104 0.9353 0.6741  5 Dy 3.27-3.63, 2 Pr 3.33-3.49
Dy: 0.5896 0.0647 0.3259  5 Dy 3.27-3.63, 2 Pr 3.33-3.49
Dy: 0.7656 0.7656 0.9220  5 Dy 3.40-3.59, 3 Nd 3.44-3.78, 2 Pr 3.52
Dy: 0.9353 0.4104 0.6741  5 Dy 3.27-3.63, 2 Pr 3.33-3.49

- total energy (eV/atom) = -4.515
- D(E_F) (states/eV/atom) = 1.594
- energy relative to the elements (eV per atom) = 0.15
- total magnetization (μB per cell) = 0.0
- space group = C2/m

=====

Crystalline PrNd4Dy5 at its relaxed geometry. Source: the Alexandria database, functional GGA-PBE.

Lattice parameters (Å, degrees): 8.1008 8.1008 8.1008 98.19 98.19 135.66
With the nearest neighbours (Å) after each atom.
Element x y z (fractional)
Pr: 0.0000 0.0000 0.0000  1 Dy 2.88
Nd: 0.0579 0.7313 0.3266  3 Dy 3.31-3.68, 1 Nd 3.68
Nd: 0.4048 0.7313 0.6734  3 Dy 3.31-3.68, 1 Nd 3.68
Nd: 0.7313 0.0579 0.3266  3 Dy 3.31-3.68, 1 Nd 3.68
Nd: 0.7313 0.4048 0.6734  3 Dy 3.31-3.68, 1 Nd 3.68
Dy: 0.0825 0.0825 0.6210  3 Dy 3.25-3.56, 1 Pr 3.29, 2 Nd 3.31
Dy: 0.0825 0.4615 0.0000  3 Dy 3.25-3.56, 1 Pr 3.29, 2 Nd 3.31
Dy: 0.4615 0.0825 0.0000  3 Dy 3.25-3.56, 1 Pr 3.29, 2 Nd 3.31
Dy: 0.4615 0.4615 0.3790  3 Dy 3.25-3.56, 1 Pr 3.29, 2 Nd 3.31
Dy: 0.5294 0.5294 0.0000  1 Pr 2.88

- total energy (eV/atom) = -4.443
- D(E_F) (states/eV/atom) = 1.358
- energy relative to the elements (eV per atom) = 0.24
- total magnetization (μB per cell) = 0.0
- space group = I4mm

=====

Crystalline Pr2NdDy at its relaxed geometry. Source: the Alexandria database, functional GGA-PBE.

Lattice parameters (Å, degrees): 4.2890 4.2890 7.5634 90.00 90.00 90.00
With the nearest neighbours (Å) after each atom.
Element x y z (fractional)
Pr: 0.0000 0.0000 0.2416  4 Dy 3.54, 4 Nd 3.61, 2 Pr 3.65-3.91
Pr: 0.0000 0.0000 0.7584  4 Dy 3.54, 4 Nd 3.61, 2 Pr 3.65-3.91
Nd: 0.5000 0.5000 0.5000  8 Pr 3.61, 2 Dy 3.78
Dy: 0.5000 0.5000 0.0000  8 Pr 3.54, 2 Nd 3.78

- total energy (eV/atom) = -4.627
- D(E_F) (states/eV/atom) = 2.143
- energy relative to the elements (eV per atom) = 0.10
- total magnetization (μB per cell) = 0.0
- space group = P4/mmm

=====

Crystalline PrNd3Dy4 at its relaxed geometry. Source: the Alexandria database, functional GGA-PBE.

Lattice parameters (Å, degrees): 3.4728 11.7441 13.2235 90.00 90.00 90.00
With the nearest neighbours (Å) after each atom.
Element x y z (fractional)
Pr: 0.0000 0.0000 0.0000  4 Dy 3.43, 2 Pr 3.47, 4 Nd 3.64
Pr: 0.5000 0.5000 0.5000  4 Dy 3.43, 2 Pr 3.47, 4 Nd 3.64
Nd: 0.0000 0.0000 0.5000  6 Nd 3.47-3.83, 8 Dy 3.85
Nd: 0.0000 0.5000 0.2584  6 Dy 3.36-3.69, 2 Nd 3.47, 2 Pr 3.64
Nd: 0.0000 0.5000 0.7416  6 Dy 3.36-3.69, 2 Nd 3.47, 2 Pr 3.64
Nd: 0.5000 0.0000 0.2416  6 Dy 3.36-3.69, 2 Nd 3.47, 2 Pr 3.64
Nd: 0.5000 0.0000 0.7584  6 Dy 3.36-3.69, 2 Nd 3.47, 2 Pr 3.64
Nd: 0.5000 0.5000 0.0000  6 Nd 3.47-3.83, 8 Dy 3.85
Dy: 0.0000 0.2497 0.1348  3 Nd 3.36-3.69, 1 Pr 3.43, 5 Dy 3.47-3.57
Dy: 0.0000 0.2497 0.8652  3 Nd 3.36-3.69, 1 Pr 3.43, 5 Dy 3.47-3.57
Dy: 0.0000 0.7503 0.1348  3 Nd 3.36-3.69, 1 Pr 3.43, 5 Dy 3.47-3.57
Dy: 0.0000 0.7503 0.8652  3 Nd 3.36-3.69, 1 Pr 3.43, 5 Dy 3.47-3.57
Dy: 0.5000 0.2503 0.3652  3 Nd 3.36-3.69, 1 Pr 3.43, 5 Dy 3.47-3.57
Dy: 0.5000 0.2503 0.6348  3 Nd 3.36-3.69, 1 Pr 3.43, 5 Dy 3.47-3.57
Dy: 0.5000 0.7497 0.3652  3 Nd 3.36-3.69, 1 Pr 3.43, 5 Dy 3.47-3.57
Dy: 0.5000 0.7497 0.6348  3 Nd 3.36-3.69, 1 Pr 3.43, 5 Dy 3.47-3.57

- total energy (eV/atom) = -4.555
- D(E_F) (states/eV/atom) = 1.604
- energy relative to the elements (eV per atom) = 0.13
- total magnetization (μB per cell) = 0.0
- space group = Immm

=====

Crystalline PrNdDy2 at its relaxed geometry. Source: the Alexandria database, functional GGA-PBE.

Lattice parameters (Å, degrees): 5.1391 5.1391 5.0703 90.00 90.00 90.00
With the nearest neighbours (Å) after each atom.
Element x y z (fractional)
Pr: 0.0000 0.0000 0.0000  8 Dy 3.61, 4 Nd 3.63
Nd: 0.5000 0.5000 0.0000  8 Dy 3.61, 4 Pr 3.63
Dy: 0.0000 0.5000 0.5000  4 Pr 3.61, 4 Nd 3.61, 4 Dy 3.63
Dy: 0.5000 0.0000 0.5000  4 Pr 3.61, 4 Nd 3.61, 4 Dy 3.63

- total energy (eV/atom) = -4.668
- D(E_F) (states/eV/atom) = 1.573
- energy relative to the elements (eV per atom) = 0.02
- total magnetization (μB per cell) = 0.0
- space group = P4/mmm

=====

Crystalline Pr2Nd2Dy3 at its relaxed geometry. Source: the Alexandria database, functional GGA-PBE.

Lattice parameters (Å, degrees): 6.2840 6.2936 12.5761 99.70 99.70 99.42
With the nearest neighbours (Å) after each atom.
Element x y z (fractional)
Pr: 0.1425 0.2838 0.2880  7 Dy 3.60-3.65, 4 Nd 3.61-3.65, 1 Pr 3.66
Pr: 0.2844 0.5706 0.0719  3 Pr 3.62-3.66, 5 Dy 3.63-3.66, 4 Nd 3.64-3.66
Pr: 0.7156 0.4294 0.9281  3 Pr 3.62-3.66, 5 Dy 3.63-3.66, 4 Nd 3.64-3.66
Pr: 0.8575 0.7162 0.7120  7 Dy 3.60-3.65, 4 Nd 3.61-3.65, 1 Pr 3.66
Nd: 0.4253 0.8571 0.8555  5 Pr 3.61-3.66, 5 Dy 3.62-3.65, 2 Nd 3.65-3.66
Nd: 0.4313 0.8560 0.3593  2 Nd 3.59-3.65, 7 Dy 3.60-3.64, 3 Pr 3.63-3.65
Nd: 0.5687 0.1440 0.6407  2 Nd 3.59-3.65, 7 Dy 3.60-3.64, 3 Pr 3.63-3.65
Nd: 0.5747 0.1429 0.1445  5 Pr 3.61-3.66, 5 Dy 3.62-3.65, 2 Nd 3.65-3.66
Dy: 0.0000 0.0000 0.0000  4 Nd 3.62-3.65, 6 Pr 3.63-3.65, 2 Dy 3.66
Dy: 0.0000 0.0000 0.5000  6 Dy 3.60-3.63, 2 Pr 3.60, 4 Nd 3.60-3.63
Dy: 0.1412 0.2863 0.7834  3 Dy 3.60-3.66, 4 Nd 3.62-3.63, 5 Pr 3.62-3.66
Dy: 0.2836 0.5710 0.5707  3 Pr 3.60-3.64, 5 Dy 3.60-3.64, 4 Nd 3.61-3.64
Dy: 0.7164 0.4290 0.4293  3 Pr 3.60-3.64, 5 Dy 3.60-3.64, 4 Nd 3.61-3.64
Dy: 0.8588 0.7137 0.2166  3 Dy 3.60-3.66, 4 Nd 3.62-3.63, 5 Pr 3.62-3.66

- total energy (eV/atom) = -4.684
- D(E_F) (states/eV/atom) = 1.397
- energy relative to the elements (eV per atom) = 0.02
- total magnetization (μB per cell) = 0.0
- space group = P-1